No. 1
AcTl2Hg6 (PBE-GGA, relaxed); total moment = 0.00 Bohr magnetons per cell; volume = 28.02 Å³ per atom; ρ = 12.11 g cm⁻³; space group = R-3m; DFT formation energy = -193 meV per atom; raw total energy = -12.39 eV/f.u.
1.0
4.654 2.687 3.360
-4.654 2.687 3.360
0.000 -5.373 3.360
Ac Tl Hg
1 2 6
direct
0.000 0.000 0.000
0.342 0.342 0.342
0.658 0.658 0.658
0.169 0.500 0.831
0.169 0.831 0.500
0.500 0.169 0.831
0.500 0.831 0.169
0.831 0.169 0.500
0.831 0.500 0.169



No. 2
Ac2Tl3Hg2 (PBE-GGA, relaxed); total moment = 0.00 Bohr magnetons per cell; volume = 31.31 Å³ per atom; ρ = 11.12 g cm⁻³; space group = C2/m; DFT formation energy = -323 meV per atom; raw total energy = -18.18 eV/f.u.; E above lowest polymorph = 0.0000 eV/atom
1.0
5.902 -2.448 0.000
5.902 2.448 0.000
-0.683 0.000 7.584
Ac Tl Hg
2 3 2
direct
0.114 0.114 0.311
0.886 0.886 0.689
0.195 0.195 0.862
0.500 0.500 0.000
0.805 0.805 0.138
0.395 0.395 0.374
0.605 0.605 0.626